[1]
Ir2Au | PBE-GGA | relaxed

The calculation puts the final energy at -19.528 eV/cell. The volume comes out at 48 Å³ per cell.

Cell lengths 4.470, 4.470, 2.783 Å; angles 90.00, 90.00, 120.00 degrees
Element x y z (fractional)
Ir 0.333 0.667 0.000
Ir 0.667 0.333 0.000
Au 0.000 0.000 0.500

[2]
Rb4Pr3NpO8 | PBE-GGA | relaxed

The value obtained for the formation energy from raw total energies is -38.77 eV/f.u. The volume comes out at 310 Å³ per cell.

Cell lengths 7.867, 7.867, 7.867 Å; angles 55.68, 55.68, 55.68 degrees
Element x y z (fractional)
Rb 0.000 0.000 0.000
Rb 0.000 0.500 0.500
Rb 0.500 0.000 0.500
Rb 0.500 0.500 0.000
Pr 0.000 0.000 0.500
Pr 0.000 0.500 0.000
Pr 0.500 0.000 0.000
Np 0.500 0.500 0.500
O 0.227 0.227 0.227
O 0.239 0.721 0.721
O 0.279 0.279 0.761
O 0.279 0.761 0.279
O 0.721 0.239 0.721
O 0.721 0.721 0.239
O 0.761 0.279 0.279
O 0.773 0.773 0.773

[3]
TcMo2Ir | PBE-GGA | relaxed

The calculation puts the final energy at -82.053 eV/cell. The volume comes out at 122 Å³ per cell.

Cell lengths 9.237, 2.766, 4.831 Å; angles 90.00, 99.53, 90.00 degrees
Element x y z (fractional)
Tc 0.000 0.000 0.000
Tc 0.500 0.500 0.000
Mo 0.014 0.500 0.516
Mo 0.254 0.500 0.244
Mo 0.514 0.000 0.516
Mo 0.754 0.000 0.244
Ir 0.261 0.000 0.754
Ir 0.761 0.500 0.754

[4]
PmTmPu2 | PBE-GGA | relaxed

The calculation puts the final energy at -147.024 eV/cell. The volume comes out at 471 Å³ per cell.

Cell lengths 7.782, 7.782, 7.782 Å; angles 90.00, 90.00, 90.00 degrees
Element x y z (fractional)
Pm 0.000 0.000 0.000
Pm 0.000 0.500 0.500
Pm 0.500 0.000 0.500
Pm 0.500 0.500 0.000
Tm 0.000 0.000 0.500
Tm 0.000 0.500 0.000
Tm 0.500 0.000 0.000
Tm 0.500 0.500 0.500
Pu 0.250 0.250 0.250
Pu 0.250 0.250 0.750
Pu 0.250 0.750 0.250
Pu 0.250 0.750 0.750
Pu 0.750 0.250 0.250
Pu 0.750 0.250 0.750
Pu 0.750 0.750 0.250
Pu 0.750 0.750 0.750

[5]
DyThAg4 | PBE-GGA | relaxed

The calculation puts the final energy at -23.875 eV/cell. The volume comes out at 134 Å³ per cell.

Cell lengths 5.737, 5.737, 5.737 Å; angles 60.00, 60.00, 60.00 degrees
Element x y z (fractional)
Dy 0.000 0.000 0.000
Th 0.750 0.750 0.750
Ag 0.375 0.375 0.375
Ag 0.375 0.375 0.876
Ag 0.375 0.876 0.375
Ag 0.876 0.375 0.375

[6]
Y2MgRh2 | PBE-GGA | relaxed

The calculation puts the final energy at -65.514 eV/cell. The volume comes out at 213 Å³ per cell.

Cell lengths 5.851, 5.851, 7.927 Å; angles 105.51, 105.51, 55.57 degrees
Element x y z (fractional)
Y 0.002 0.703 0.851
Y 0.297 0.998 0.649
Y 0.703 0.002 0.351
Y 0.998 0.297 0.149
Mg 0.360 0.640 0.250
Mg 0.640 0.360 0.750
Rh 0.214 0.515 0.488
Rh 0.485 0.786 0.012
Rh 0.515 0.214 0.988
Rh 0.786 0.485 0.512

[7]
RbP2SeCl | PBE-GGA | relaxed

The value obtained for the formation energy from raw total energies is 0.47 eV/f.u. The volume comes out at 174 Å³ per cell.

Cell lengths 4.749, 4.749, 7.735 Å; angles 90.00, 90.00, 90.00 degrees
Element x y z (fractional)
Rb 0.000 0.000 0.000
P 0.000 0.500 0.500
P 0.500 0.000 0.500
Se 0.500 0.500 0.500
Cl 0.500 0.500 0.000

[8]
CuGe2Ir | PBE-GGA | relaxed

The calculation puts the final energy at -83.914 eV/cell. The volume comes out at 335 Å³ per cell.

Cell lengths 5.870, 5.870, 9.729 Å; angles 90.00, 90.00, 90.00 degrees
Element x y z (fractional)
Cu 0.000 0.000 0.000
Cu 0.000 0.500 0.250
Cu 0.500 0.000 0.750
Cu 0.500 0.500 0.500
Ge 0.245 0.250 0.625
Ge 0.250 0.745 0.875
Ge 0.250 0.755 0.375
Ge 0.255 0.250 0.125
Ge 0.745 0.750 0.125
Ge 0.750 0.245 0.375
Ge 0.750 0.255 0.875
Ge 0.755 0.750 0.625
Ir 0.000 0.000 0.500
Ir 0.000 0.500 0.750
Ir 0.500 0.000 0.250
Ir 0.500 0.500 0.000

[9]
Ce8Pu2In | PBE-GGA | relaxed

The calculation puts the final energy at -78.738 eV/cell. The volume comes out at 292 Å³ per cell.

Cell lengths 7.953, 7.953, 5.227 Å; angles 99.50, 99.50, 112.40 degrees
Element x y z (fractional)
Ce 0.000 0.000 0.000
Ce 0.070 0.341 0.611
Ce 0.213 0.724 0.194
Ce 0.341 0.070 0.611
Ce 0.490 0.728 0.804
Ce 0.724 0.213 0.194
Ce 0.728 0.490 0.804
Ce 0.826 0.826 0.396
Pu 0.041 0.665 0.677
Pu 0.665 0.041 0.677
In 0.402 0.402 0.195

[10]
Dy5Er5Sb6 | PBE-GGA | relaxed

The value obtained for the formation energy from raw total energies is -14.54 eV/f.u. The volume comes out at 434 Å³ per cell.

Cell lengths 6.279, 8.931, 8.931 Å; angles 119.93, 90.00, 90.00 degrees
Element x y z (fractional)
Dy 0.000 0.000 0.000
Dy 0.000 0.506 0.752
Dy 0.000 0.752 0.506
Dy 0.500 0.753 0.999
Dy 0.500 0.999 0.753
Er 0.250 0.085 0.419
Er 0.250 0.419 0.085
Er 0.500 0.506 0.506
Er 0.750 0.085 0.419
Er 0.750 0.419 0.085
Sb 0.000 0.143 0.752
Sb 0.000 0.362 0.362
Sb 0.000 0.752 0.143
Sb 0.500 0.144 0.144
Sb 0.500 0.363 0.752
Sb 0.500 0.752 0.363

[11]
Zn3TcSb | PBE-GGA | relaxed

The value obtained for the formation energy from raw total energies is 3.98 eV/f.u. The volume comes out at 112 Å³ per cell.

Cell lengths 4.824, 4.824, 4.824 Å; angles 90.00, 90.00, 90.00 degrees
Element x y z (fractional)
Zn 0.000 0.000 0.500
Zn 0.000 0.500 0.000
Zn 0.500 0.000 0.000
Tc 0.000 0.000 0.000
Sb 0.500 0.500 0.500

[12]
Li4CdPd2 | PBE-GGA | relaxed

The calculation puts the final energy at -41.181 eV/cell. The volume comes out at 222 Å³ per cell.

Cell lengths 6.613, 6.613, 6.613 Å; angles 110.58, 110.58, 107.27 degrees
Element x y z (fractional)
Li 0.163 0.729 0.732
Li 0.181 0.247 0.768
Li 0.271 0.003 0.434
Li 0.479 0.413 0.232
Li 0.569 0.837 0.566
Li 0.587 0.819 0.066
Li 0.753 0.521 0.934
Li 0.997 0.431 0.268
Cd 0.000 0.000 0.000
Cd 0.750 0.250 0.500
Pd 0.201 0.625 0.076
Pd 0.375 0.451 0.576
Pd 0.549 0.125 0.924
Pd 0.875 0.799 0.424